[1]
Crystalline GePIrN2 at its relaxed geometry, computed with PBE.

a b c (Å): 3.9162 4.5894 4.8347
angles (deg): 71.59 82.88 80.51
Closest atoms and distances in Å follow each position.
Positions (direct):
Ge: 0.3737 0.1412 0.7544  1 N 2.11, 1 P 2.33
N: 0.8200 0.3327 0.0994  1 N 1.24
N: 0.0643 0.1180 0.1486  1 N 1.24
P: 0.1198 0.8619 0.5262  1 N 1.85
Ir: 0.6488 0.6082 0.7312  1 N 1.95

Values from the calculation:
volume = 81.08 Å³/cell
excess energy over the best structure of this formula in the dataset = 606.0 meV per atom
spin magnetization = 0.00 μB per formula unit

---

[2]
Crystalline GePIrN at its relaxed geometry, computed with PBE.

a b c (Å): 3.4527 2.9197 5.6999
angles (deg): 90.00 90.00 90.00
Closest atoms and distances in Å follow each position.
Positions (direct):
Ge: 0.0000 0.5000 0.3003  2 N 1.88
N: 0.0000 0.0000 0.0917  1 P 1.66
P: 0.0000 0.0000 0.8003  1 N 1.66
Ir: 0.5000 0.5000 0.6227  4 P 2.48, 2 Ge 2.52

Values from the calculation:
volume = 57.46 Å³/cell
excess energy over the best structure of this formula in the dataset = 95.7 meV per atom
spin magnetization = 0.00 μB per formula unit

---

Number 1: E -33.51 eV per formula unit, formation energy from raw total energies 2.02 eV/f.u.. Number 2: E -27.51 eV per formula unit, formation energy from raw total energies -0.30 eV/f.u..